Entry 1:
The following is a PBE-GGA calculation of an optimized crystal structure of TcSb2As, from the Alexandria database.

Computed properties:
Volume = 20.90 Å³/atom
Uncorrected formation energy = 150 kJ/mol of formula units
Total DFT energy (no corrections) = -21.70 eV per cell
M_tot = 0.00 μB/f.u.

abc: 4.847 4.847 5.546
angles: 78.95 78.95 40.96
Element x y z (fractional)
1 Sb 0.980 0.980 0.028
2 Sb 0.520 0.520 0.472
3 Tc 0.250 0.250 0.250
4 As 0.750 0.750 0.750


Entry 2:
The following is a PBE-GGA calculation of an optimized crystal structure of Th3Fe2Hg, from the Alexandria database.

Computed properties:
Volume = 23.81 Å³/atom
Energy of formation from the pure elements = -0.1049 eV/atom
Total DFT energy (no corrections) = -80.23 eV per cell
M_tot = 0.00 μB/f.u.

abc: 3.945 7.569 9.568
angles: 90.00 90.00 90.00
Element x y z (fractional)
1 Fe 0.500 0.587 0.545
2 Fe 0.000 0.958 0.259
3 Fe 0.500 0.087 0.455
4 Fe 0.000 0.458 0.741
5 Hg 0.000 0.941 0.970
6 Hg 0.000 0.441 0.030
7 Th 0.000 0.352 0.463
8 Th 0.500 0.203 0.754
9 Th 0.500 0.703 0.246
10 Th 0.000 0.852 0.537
11 Th 0.500 0.660 0.819
12 Th 0.500 0.160 0.181


Entry 3:
The following is a PBE-GGA calculation of an optimized crystal structure of Na2Ho3ErSe6, from the Alexandria database.

Computed properties:
Volume = 24.32 Å³/atom
Uncorrected formation energy = -1972 kJ/mol of formula units
Total DFT energy (no corrections) = -62.28 eV per cell
M_tot = 0.00 μB/f.u.

abc: 7.066 7.066 7.142
angles: 99.47 99.47 119.94
Element x y z (fractional)
1 Se 0.588 0.916 0.747
2 Se 0.916 0.588 0.747
3 Se 0.412 0.084 0.253
4 Se 0.759 0.759 0.257
5 Se 0.084 0.412 0.253
6 Se 0.241 0.241 0.743
7 Ho 0.500 0.500 0.500
8 Ho 0.169 0.831 0.500
9 Ho 0.831 0.169 0.500
10 Er 0.000 0.000 0.000
11 Na 0.666 0.334 0.000
12 Na 0.334 0.666 0.000


Entry 4:
The following is a PBE-GGA calculation of an optimized crystal structure of KCaP2O, from the Alexandria database.

Computed properties:
Volume = 25.96 Å³/atom
Uncorrected formation energy = 346 kJ/mol of formula units
Total DFT energy (no corrections) = -15.29 eV per cell
M_tot = 2.52 μB/f.u.

abc: 5.340 5.340 4.552
angles: 90.00 90.00 90.00
Each line ends with the local moment (μB).
Element x y z (fractional)
1 O 0.000 0.000 0.500  0.86
2 K 0.000 0.000 0.000  0.04
3 P 0.500 0.000 0.000  0.32
4 P 0.000 0.500 0.000  0.32
5 Ca 0.500 0.500 0.500  0.01


Entry 5:
The following is a PBE-GGA calculation of an optimized crystal structure of TbErCoCu, from the Alexandria database.

Computed properties:
Volume = 20.32 Å³/atom
Energy of formation from the pure elements = -0.2249 eV/atom
Total DFT energy (no corrections) = -21.29 eV per cell
M_tot = 0.00 μB/f.u.

abc: 3.790 4.221 5.422
angles: 90.00 110.45 90.00
Element x y z (fractional)
1 Er 0.861 0.500 0.723
2 Co 0.428 0.000 0.856
3 Cu 0.568 0.500 0.136
4 Tb 0.143 0.000 0.286


Entry 6:
The following is a PBE-GGA calculation of an optimized crystal structure of La2Nd7, from the Alexandria database.

Computed properties:
Volume = 35.75 Å³/atom
Energy of formation from the pure elements = 0.0433 eV/atom
Total DFT energy (no corrections) = -42.84 eV per cell
M_tot = 0.00 μB/f.u.

abc: 3.625 10.124 10.124
angles: 120.00 90.00 90.00
Element x y z (fractional)
1 Nd 0.000 0.689 0.689
2 Nd 0.000 0.000 0.311
3 Nd 0.500 0.000 0.000
4 Nd 0.000 0.311 0.000
5 Nd 0.500 0.652 0.000
6 Nd 0.500 0.348 0.348
7 Nd 0.500 0.000 0.652
8 La 0.000 0.333 0.667
9 La 0.000 0.667 0.333


Entry 7:
The following is a PBE-GGA calculation of an optimized crystal structure of BaGdSb2, from the Alexandria database.

Computed properties:
Volume = 37.10 Å³/atom
Uncorrected formation energy = -367 kJ/mol of formula units
Total DFT energy (no corrections) = -28.05 eV per cell
M_tot = 6.69 μB/f.u.

abc: 4.710 4.710 8.188
angles: 73.29 73.29 60.00
Each line ends with the local moment (μB).
Element x y z (fractional)
1 Sb 0.264 0.264 0.208  -0.07
2 Sb 0.736 0.736 0.792  -0.07
3 Gd 0.000 0.000 0.000  6.96
4 Ba 0.500 0.500 0.500  -0.02


Entry 8:
The following is a PBE-GGA calculation of an optimized crystal structure of BaSr2Sb2, from the Alexandria database.

Computed properties:
Volume = 43.23 Å³/atom
Uncorrected formation energy = -500 kJ/mol of formula units
Total DFT energy (no corrections) = -18.71 eV per cell
M_tot = 0.00 μB/f.u.

abc: 5.479 5.479 8.313
angles: 90.00 90.00 60.00
Element x y z (fractional)
1 Sb 0.833 0.333 0.236
2 Sb 0.167 0.667 0.764
3 Sr 0.833 0.333 0.651
4 Sr 0.167 0.667 0.349
5 Ba 0.500 0.000 0.000


Entry 9:
The following is a PBE-GGA calculation of an optimized crystal structure of NaLi4Tl2, from the Alexandria database.

Computed properties:
Volume = 24.99 Å³/atom
Energy of formation from the pure elements = 0.1321 eV/atom
Total DFT energy (no corrections) = -12.78 eV per cell
M_tot = 0.00 μB/f.u.

abc: 4.817 4.817 8.274
angles: 73.08 73.08 90.00
Element x y z (fractional)
1 Li 0.000 0.500 0.000
2 Li 0.199 0.199 0.603
3 Li 0.801 0.801 0.397
4 Li 0.500 0.000 0.000
5 Tl 0.385 0.385 0.230
6 Tl 0.615 0.615 0.770
7 Na 0.000 0.000 0.000


Entry 10:
The following is a PBE-GGA calculation of an optimized crystal structure of AlBi2Rh2, from the Alexandria database.

Computed properties:
Volume = 20.47 Å³/atom
Energy of formation from the pure elements = -0.1372 eV/atom
Total DFT energy (no corrections) = -53.79 eV per cell
M_tot = 0.00 μB/f.u.

abc: 6.725 6.725 4.527
angles: 90.00 90.00 90.00
Element x y z (fractional)
1 Rh 0.149 0.351 0.000
2 Rh 0.351 0.851 0.000
3 Rh 0.851 0.649 0.000
4 Rh 0.649 0.149 0.000
5 Al 0.000 0.000 0.000
6 Al 0.500 0.500 0.000
7 Bi 0.333 0.167 0.500
8 Bi 0.667 0.833 0.500
9 Bi 0.833 0.333 0.500
10 Bi 0.167 0.667 0.500


Entry 11:
The following is a PBE-GGA calculation of an optimized crystal structure of Dy8Y2Er, from the Alexandria database.

Computed properties:
Volume = 32.29 Å³/atom
Energy of formation from the pure elements = 0.1702 eV/atom
Total DFT energy (no corrections) = -52.44 eV per cell
M_tot = 0.00 μB/f.u.

abc: 6.618 10.148 10.148
angles: 38.10 59.58 59.58
Element x y z (fractional)
1 Y 0.595 0.800 0.800
2 Y 0.405 0.200 0.200
3 Dy 0.774 0.174 0.650
4 Dy 0.827 0.245 0.245
5 Dy 0.173 0.755 0.755
6 Dy 0.226 0.826 0.350
7 Dy 0.226 0.350 0.826
8 Dy 0.774 0.650 0.174
9 Dy 0.274 0.411 0.411
10 Dy 0.726 0.589 0.589
11 Er 0.000 0.000 0.000


Entry 12:
The following is a PBE-GGA calculation of an optimized crystal structure of SmErHgPd, from the Alexandria database.

Computed properties:
Volume = 24.08 Å³/atom
Energy of formation from the pure elements = -0.6231 eV/atom
Total DFT energy (no corrections) = -17.27 eV per cell
M_tot = 0.00 μB/f.u.

abc: 5.146 5.146 5.146
angles: 60.00 60.00 60.00
Element x y z (fractional)
1 Er 0.000 0.000 0.000
2 Hg 0.250 0.250 0.250
3 Pd 0.750 0.750 0.750
4 Sm 0.500 0.500 0.500


Entry 13:
The following is a PBE-GGA calculation of an optimized crystal structure of BeCrGaPd, from the Alexandria database.

Computed properties:
Volume = 13.02 Å³/atom
Energy of formation from the pure elements = -0.1949 eV/atom
Total DFT energy (no corrections) = -22.35 eV per cell
M_tot = 3.21 μB/f.u.

abc: 4.191 4.191 4.191
angles: 60.00 60.00 60.00
Each line ends with the local moment (μB).
Element x y z (fractional)
1 Ga 0.000 0.000 0.000  -0.03
2 Cr 0.750 0.750 0.750  3.03
3 Be 0.500 0.500 0.500  -0.03
4 Pd 0.250 0.250 0.250  0.05


Entry 14:
The following is a PBE-GGA calculation of an optimized crystal structure of LiDyMgCd, from the Alexandria database.

Computed properties:
Volume = 22.43 Å³/atom
Energy of formation from the pure elements = -0.1993 eV/atom
Total DFT energy (no corrections) = -9.82 eV per cell
M_tot = 0.00 μB/f.u.

abc: 5.025 5.025 5.025
angles: 60.00 60.00 60.00
Element x y z (fractional)
1 Li 0.250 0.250 0.250
2 Dy 0.000 0.000 0.000
3 Cd 0.750 0.750 0.750
4 Mg 0.500 0.500 0.500


Entry 15:
The following is a PBE-GGA calculation of an optimized crystal structure of TbCe3Pt8, from the Alexandria database.

Computed properties:
Volume = 19.38 Å³/atom
Energy of formation from the pure elements = -1.0469 eV/atom
Total DFT energy (no corrections) = -83.32 eV per cell
M_tot = 2.27 μB/f.u.

abc: 5.479 5.479 9.489
angles: 73.22 73.22 60.00
Each line ends with the local moment (μB).
Element x y z (fractional)
1 Pt 0.937 0.937 0.686  -0.02
2 Pt 0.439 0.937 0.686  -0.02
3 Pt 0.937 0.439 0.686  -0.02
4 Pt 0.936 0.437 0.190  -0.02
5 Pt 0.687 0.687 0.938  -0.03
6 Pt 0.437 0.936 0.190  -0.02
7 Pt 0.188 0.188 0.437  -0.02
8 Pt 0.437 0.437 0.190  -0.02
9 Ce 0.002 0.002 0.995  0.68
10 Ce 0.499 0.499 0.504  0.61
11 Ce 0.374 0.374 0.879  0.73
12 Tb 0.876 0.876 0.371  0.05


Entry 16:
The following is a PBE-GGA calculation of an optimized crystal structure of YCuSO, from the Alexandria database.

Computed properties:
Volume = 17.20 Å³/atom
Uncorrected formation energy = -763 kJ/mol of formula units
Total DFT energy (no corrections) = -55.11 eV per cell
M_tot = 0.00 μB/f.u.

abc: 4.094 8.797 3.820
angles: 90.00 90.00 90.00
Element x y z (fractional)
1 Y 0.500 0.377 0.500
2 Y 0.000 0.623 0.000
3 O 0.500 0.527 0.000
4 O 0.000 0.473 0.500
5 Cu 0.500 0.985 0.500
6 Cu 0.000 0.015 0.000
7 S 0.500 0.150 0.000
8 S 0.000 0.850 0.500


Entry 17:
The following is a PBE-GGA calculation of an optimized crystal structure of In3GaO6, from the Alexandria database.

Computed properties:
Volume = 12.74 Å³/atom
Uncorrected formation energy = -1570 kJ/mol of formula units
Total DFT energy (no corrections) = -114.53 eV per cell
M_tot = 0.00 μB/f.u.

abc: 6.341 6.341 6.341
angles: 91.15 91.15 91.15
Element x y z (fractional)
1 In 0.442 0.931 0.749
2 In 0.069 0.251 0.558
3 In 0.749 0.442 0.931
4 In 0.251 0.558 0.069
5 In 0.931 0.749 0.442
6 In 0.558 0.069 0.251
7 O 0.590 0.802 0.459
8 O 0.459 0.590 0.802
9 O 0.301 0.918 0.071
10 O 0.410 0.198 0.541
11 O 0.541 0.410 0.198
12 O 0.929 0.699 0.082
13 O 0.082 0.929 0.699
14 O 0.071 0.301 0.918
15 O 0.198 0.541 0.410
16 O 0.699 0.082 0.929
17 O 0.918 0.071 0.301
18 O 0.802 0.459 0.590
19 Ga 0.500 0.500 0.500
20 Ga 0.000 0.000 0.000


Entry 18:
The following is a PBE-GGA calculation of an optimized crystal structure of NaTc2Br8, from the Alexandria database.

Computed properties:
Volume = 41.91 Å³/atom
Uncorrected formation energy = -359 kJ/mol of formula units
Total DFT energy (no corrections) = -39.16 eV per cell
M_tot = 1.08 μB/f.u.

abc: 6.846 8.438 8.438
angles: 73.27 82.79 82.79
Each line ends with the local moment (μB).
Element x y z (fractional)
1 Br 0.317 0.807 0.807  0.02
2 Br 0.228 0.299 0.926  0.02
3 Br 0.175 0.368 0.368  0.02
4 Br 0.772 0.701 0.074  0.02
5 Br 0.772 0.074 0.701  0.02
6 Br 0.228 0.926 0.299  0.02
7 Br 0.825 0.632 0.632  0.02
8 Br 0.683 0.193 0.193  0.02
9 Tc 0.334 0.201 0.201  0.39
10 Tc 0.666 0.799 0.799  0.39
11 Na 0.000 0.000 0.000  0.00


Entry 19:
The following is a PBE-GGA calculation of an optimized crystal structure of Ta2CdPd9, from the Alexandria database.

Computed properties:
Volume = 15.85 Å³/atom
Energy of formation from the pure elements = -0.4455 eV/atom
Total DFT energy (no corrections) = -76.70 eV per cell
M_tot = 0.00 μB/f.u.

abc: 3.979 3.979 12.013
angles: 90.00 90.00 90.00
Element x y z (fractional)
1 Pd 0.000 0.500 0.500
2 Pd 0.500 0.500 0.661
3 Pd 0.000 0.500 0.177
4 Pd 0.500 0.000 0.177
5 Pd 0.000 0.500 0.823
6 Pd 0.500 0.000 0.823
7 Pd 0.500 0.000 0.500
8 Pd 0.500 0.500 0.339
9 Pd 0.500 0.500 0.000
10 Ta 0.000 0.000 0.672
11 Ta 0.000 0.000 0.328
12 Cd 0.000 0.000 0.000


Entry 20:
The following is a PBE-GGA calculation of an optimized crystal structure of RuRh2Pb, from the Alexandria database.

Computed properties:
Volume = 24.43 Å³/atom
Energy of formation from the pure elements = 0.8765 eV/atom
Total DFT energy (no corrections) = -48.36 eV per cell
M_tot = 0.00 μB/f.u.

abc: 5.800 5.800 7.112
angles: 65.94 65.94 90.00
Element x y z (fractional)
1 Rh 0.875 0.828 0.750
2 Rh 0.172 0.625 0.250
3 Rh 0.578 0.125 0.250
4 Rh 0.375 0.422 0.750
5 Ru 0.250 0.750 0.500
6 Ru 0.500 0.500 0.000
7 Pb 0.000 0.000 0.000
8 Pb 0.750 0.250 0.500